Record 1
First-principles (PBE) data for a relaxed structure of GaCoBMo2, as listed in Alexandria via LeMat-Bulk.

Cell: 4.433 4.243 4.433 Å, 90.00 90.00 90.00°
Fractional coordinates of all 5 atoms:
1 Co 0.000 0.000 0.000
2 Mo 0.500 0.000 0.000
3 Mo 0.000 0.000 0.500
4 B 0.500 0.500 0.500
5 Ga 0.000 0.500 0.000

Values from the calculation:
As for the density of states at the Fermi level: 0.90 states/eV/atom. The value obtained for the formation energy is 754 kJ/mol of formula units. Its crystal system is tetragonal.

***

Record 2
First-principles (PBE) data for a relaxed structure of Nb2GaCo5B2, as listed in Alexandria via LeMat-Bulk.

Cell: 2.917 8.720 8.720 Å, 90.00 90.00 90.00°
Fractional coordinates of all 20 atoms:
1 B 0.000 0.620 0.880
2 Nb 0.000 0.177 0.323
3 Co 0.500 0.278 0.568
4 Co 0.500 0.778 0.932
5 Co 0.500 0.000 0.500
6 Co 0.500 0.432 0.278
7 Ga 0.000 0.500 0.500
8 Nb 0.000 0.323 0.823
9 Co 0.500 0.500 0.000
10 Co 0.500 0.932 0.222
11 Ga 0.000 0.000 0.000
12 B 0.000 0.120 0.620
13 Co 0.500 0.568 0.722
14 B 0.000 0.380 0.120
15 Nb 0.000 0.677 0.177
16 Co 0.500 0.222 0.068
17 Co 0.500 0.068 0.778
18 B 0.000 0.880 0.380
19 Co 0.500 0.722 0.432
20 Nb 0.000 0.823 0.677

Values from the calculation:
As for the density of states at the Fermi level: 0.80 states/eV/atom. The value obtained for the formation energy is -400 kJ/mol of formula units. Its crystal system is tetragonal.